Record 1
Here is a relaxed PaSi2Pt4 crystal from the Alexandria database. Energies are from PBE.

Unit cell a=16.7207 b=4.2290 c=6.7637 alpha=90.00 beta=90.00 gamma=90.00
Closest atoms and distances in Å follow each position.
Fractional positions:
Pa 0.1429 0.2500 0.0271  9 Pt 2.92-3.25, 3 Si 3.22-3.25
Pa 0.3571 0.7500 0.5271  9 Pt 2.92-3.25, 3 Si 3.22-3.25
Pa 0.6429 0.2500 0.4729  9 Pt 2.92-3.25, 3 Si 3.22-3.25
Pa 0.8571 0.7500 0.9729  9 Pt 2.92-3.25, 3 Si 3.22-3.25
Si 0.0323 0.7500 0.2600  7 Pt 2.44-2.61
Si 0.2042 0.2500 0.5713  6 Pt 2.45-2.63
Si 0.2958 0.7500 0.0713  6 Pt 2.45-2.63
Si 0.4677 0.2500 0.7600  7 Pt 2.44-2.61
Si 0.5323 0.7500 0.2400  7 Pt 2.44-2.61
Si 0.7042 0.2500 0.9287  6 Pt 2.45-2.63
Si 0.7958 0.7500 0.4287  6 Pt 2.45-2.63
Si 0.9677 0.2500 0.7400  7 Pt 2.44-2.61
Pt 0.0363 0.7500 0.8906  3 Si 2.50-2.61
Pt 0.0616 0.2500 0.4639  4 Si 2.44-2.57
Pt 0.1749 0.7500 0.3513  3 Si 2.46-2.63
Pt 0.2115 0.7500 0.7755  3 Si 2.45-2.53
Pt 0.2885 0.2500 0.2755  3 Si 2.45-2.53
Pt 0.3251 0.2500 0.8513  3 Si 2.46-2.63
Pt 0.4384 0.7500 0.9639  4 Si 2.44-2.57
Pt 0.4637 0.2500 0.3906  3 Si 2.50-2.61
Pt 0.5363 0.7500 0.6094  3 Si 2.50-2.61
Pt 0.5616 0.2500 0.0361  4 Si 2.44-2.57
Pt 0.6749 0.7500 0.1487  3 Si 2.46-2.63
Pt 0.7115 0.7500 0.7245  3 Si 2.45-2.53
Pt 0.7885 0.2500 0.2245  3 Si 2.45-2.53
Pt 0.8251 0.2500 0.6487  3 Si 2.46-2.63
Pt 0.9384 0.7500 0.5361  4 Si 2.44-2.57
Pt 0.9637 0.2500 0.1094  3 Si 2.50-2.61

Properties
Formation energy without anion corrections ... -78.8 kJ/mol of atoms
Crystal system ... orthorhombic
Offset from the most stable computed form ... 0.000 eV/atom



Record 2
Here is a relaxed PaSiPt2 crystal from the Alexandria database. Energies are from PBE.

Unit cell a=5.6439 b=6.8502 c=4.0316 alpha=90.00 beta=90.00 gamma=90.00
Closest atoms and distances in Å follow each position.
Fractional positions:
Pa 0.0000 0.0000 0.0000  2 Si 2.82, 4 Pt 2.82
Pa 0.5000 0.5000 0.0000  2 Si 2.82, 4 Pt 2.82
Si 0.0000 0.5000 0.0000  4 Pt 2.48
Si 0.5000 0.0000 0.0000  4 Pt 2.48
Pt 0.0000 0.2883 0.5000  2 Si 2.48
Pt 0.0000 0.7117 0.5000  2 Si 2.48
Pt 0.5000 0.2117 0.5000  2 Si 2.48
Pt 0.5000 0.7883 0.5000  2 Si 2.48

Properties
Formation energy without anion corrections ... -64.0 kJ/mol of atoms
Crystal system ... orthorhombic



Record 3
Here is a relaxed PaSi4Pt2 crystal from the Alexandria database. Energies are from PBE.

Unit cell a=18.4807 b=4.0097 c=6.5446 alpha=90.00 beta=90.00 gamma=90.00
Closest atoms and distances in Å follow each position.
Fractional positions:
Pa 0.1437 0.2500 0.0162  7 Si 2.89-3.10
Pa 0.3563 0.7500 0.5162  7 Si 2.89-3.10
Pa 0.6437 0.2500 0.4838  7 Si 2.89-3.10
Pa 0.8563 0.7500 0.9838  7 Si 2.89-3.10
Si 0.0374 0.7500 0.1223  3 Pt 2.44-2.53
Si 0.0639 0.2500 0.5462  4 Pt 2.43-2.51
Si 0.1585 0.7500 0.6979  3 Pt 2.45-2.58
Si 0.2089 0.7500 0.2891  3 Pt 2.48-2.55
Si 0.2911 0.2500 0.7891  3 Pt 2.48-2.55
Si 0.3415 0.2500 0.1979  3 Pt 2.45-2.58
Si 0.4361 0.7500 0.0462  4 Pt 2.43-2.51
Si 0.4626 0.2500 0.6223  3 Pt 2.44-2.53
Si 0.5374 0.7500 0.3777  3 Pt 2.44-2.53
Si 0.5639 0.2500 0.9538  4 Pt 2.43-2.51
Si 0.6585 0.7500 0.8021  3 Pt 2.45-2.58
Si 0.7089 0.7500 0.2109  3 Pt 2.48-2.55
Si 0.7911 0.2500 0.7109  3 Pt 2.48-2.55
Si 0.8415 0.2500 0.3021  3 Pt 2.45-2.58
Si 0.9361 0.7500 0.4538  4 Pt 2.43-2.51
Si 0.9626 0.2500 0.8777  3 Pt 2.44-2.53
Pt 0.0196 0.7500 0.7398  7 Si 2.43-2.58
Pt 0.1950 0.2500 0.5094  6 Si 2.43-2.55
Pt 0.3050 0.7500 0.0094  6 Si 2.43-2.55
Pt 0.4804 0.2500 0.2398  7 Si 2.43-2.58
Pt 0.5196 0.7500 0.7602  7 Si 2.43-2.58
Pt 0.6950 0.2500 0.9906  6 Si 2.43-2.55
Pt 0.8050 0.7500 0.4906  6 Si 2.43-2.55
Pt 0.9804 0.2500 0.2602  7 Si 2.43-2.58

Properties
Formation energy without anion corrections ... -59.1 kJ/mol of atoms
Crystal system ... orthorhombic



Calculated total magnetic moment (μB per cell), listed in the same order as above: 0.00, 0.00, 0.00
Calculated raw total energy (eV/cell), listed in the same order as above: -200.898, -59.308, -190.231